K2LaB2 | GGA-PBEsol | optimized geometry

```
K2LaB2
1.0
-1.551 2.830 0.237
-5.045 -3.242 5.701
5.224 2.361 5.966
K B La
4 4 2
Direct
0.000 0.880 0.620 K
0.000 0.120 0.380 K
0.000 0.620 0.120 K
0.000 0.380 0.880 K
0.500 0.313 0.187 B
0.500 0.813 0.313 B
0.500 0.687 0.813 B
0.500 0.187 0.687 B
0.000 0.500 0.500 La
0.000 0.000 0.000 La
```

Properties
spin magnetization	0.0	μB per cell
DOS(E_F)	3.01	states/eV/f.u.
formation enthalpy at 0 K	1401	meV/atom
crystal system	tetragonal
space-group type	P4/mbm (127)
calculated total energy	-2.9285	eV per atom